No. 1
First-principles (PBE-GGA) data for a geometry-optimized Cs2BaCuCl5 structure, as listed in Alexandria via LeMat-Bulk.

Geometry as POSCAR:
```
Cs2BaCuCl5
1.0
2.2590 -9.9031 0.0000
2.2590 9.9031 0.0000
0.0000 0.0000 14.6561
Cs Ba Cu Cl
4 2 2 10
Direct
0.1125 0.8875 0.5000 Cs
0.1227 0.8773 0.1603 Cs
0.8773 0.1227 0.6603 Cs
0.8875 0.1125 0.0000 Cs
0.1831 0.8169 0.8463 Ba
0.8169 0.1831 0.3463 Ba
0.4455 0.5545 0.2208 Cu
0.5545 0.4455 0.7208 Cu
0.0336 0.9664 0.7898 Cl
0.3038 0.6962 0.4874 Cl
0.3252 0.6748 0.1996 Cl
0.3349 0.6651 0.8313 Cl
0.4970 0.5030 0.5861 Cl
0.5030 0.4970 0.0861 Cl
0.6651 0.3349 0.3313 Cl
0.6748 0.3252 0.6996 Cl
0.6962 0.3038 0.9874 Cl
0.9664 0.0336 0.2898 Cl
```

Computed properties:
DFT total energy, eV per atom: -3.6786
SG: Cmc2_1 (36)

No. 2
First-principles (PBE-GGA) data for a geometry-optimized CsBa3Cu4Cl12 structure, as listed in Alexandria via LeMat-Bulk.

Geometry as POSCAR:
```
CsBa3Cu4Cl12
1.0
7.3774 4.2594 3.9964
-7.3774 4.2594 3.9964
0.0000 -8.5187 3.9964
Cs Ba Cu Cl
1 3 4 12
Direct
0.0000 0.0000 0.0000 Cs
0.0000 0.5465 0.4535 Ba
0.4535 0.0000 0.5465 Ba
0.5465 0.4535 0.0000 Ba
0.0551 0.5000 0.9449 Cu
0.5000 0.5000 0.5000 Cu
0.5000 0.9449 0.0551 Cu
0.9449 0.0551 0.5000 Cu
0.0033 0.6350 0.7889 Cl
0.1009 0.8991 0.5000 Cl
0.2111 0.3650 0.9967 Cl
0.3491 0.6509 0.5000 Cl
0.3650 0.9967 0.2111 Cl
0.5000 0.1009 0.8991 Cl
0.5000 0.3491 0.6509 Cl
0.6350 0.7889 0.0033 Cl
0.6509 0.5000 0.3491 Cl
0.7889 0.0033 0.6350 Cl
0.8991 0.5000 0.1009 Cl
0.9967 0.2111 0.3650 Cl
```

Computed properties:
DFT total energy, eV per atom: -3.7762
SG: R32 (155)

No. 3
First-principles (PBE-GGA) data for a geometry-optimized CsBa2DyCl8 structure, as listed in Alexandria via LeMat-Bulk.

Geometry as POSCAR:
```
CsBa2DyCl8
1.0
6.8819 0.0000 0.0000
0.0000 9.6980 0.0000
-0.0189 0.0000 6.9096
Cs Ba Dy Cl
1 2 1 8
Direct
0.0000 0.0000 0.0000 Cs
0.5000 0.2543 0.5000 Ba
0.5000 0.7457 0.5000 Ba
0.0000 0.5000 0.0000 Dy
0.2198 0.3047 0.8462 Cl
0.2198 0.6953 0.8462 Cl
0.2442 0.5000 0.3095 Cl
0.2647 0.0000 0.4006 Cl
0.7353 0.0000 0.5994 Cl
0.7558 0.5000 0.6905 Cl
0.7802 0.3047 0.1538 Cl
0.7802 0.6953 0.1538 Cl
```

Computed properties:
DFT total energy, eV per atom: -4.3374
SG: P2/m (10)

No. 4
First-principles (PBE-GGA) data for a geometry-optimized Cs2BaErCl6 structure, as listed in Alexandria via LeMat-Bulk.

Geometry as POSCAR:
```
Cs2BaErCl6
1.0
7.6843 0.0000 0.0000
0.0000 11.4095 0.0000
0.0000 0.0000 8.5100
Cs Ba Er Cl
4 2 2 12
Direct
0.2500 0.0199 0.2147 Cs
0.2500 0.4801 0.2147 Cs
0.7500 0.5199 0.7853 Cs
0.7500 0.9801 0.7853 Cs
0.2500 0.2500 0.7239 Ba
0.7500 0.7500 0.2761 Ba
0.2500 0.7500 0.7725 Er
0.7500 0.2500 0.2275 Er
0.0066 0.7500 0.5534 Cl
0.0130 0.7500 0.0002 Cl
0.2500 0.5173 0.7730 Cl
0.2500 0.9827 0.7730 Cl
0.4870 0.7500 0.0002 Cl
0.4934 0.7500 0.5534 Cl
0.5066 0.2500 0.4466 Cl
0.5130 0.2500 0.9998 Cl
0.7500 0.0173 0.2270 Cl
0.7500 0.4827 0.2270 Cl
0.9870 0.2500 0.9998 Cl
0.9934 0.2500 0.4466 Cl
```

Computed properties:
DFT total energy, eV per atom: -4.0002
SG: Pmmn (59)